[1]
A relaxed Tb4B3Rh12Pb crystal. Source: Alexandria, functional PBE.

Calculated values
- E (eV/cell) = -140.27
- mass density (g cm⁻³) = 10.36
- space-group type = Im-3m (229)
- E_form (eV per atom) = -0.490

Geometry as CIF:
```
data_Tb4B3Rh12Pb
_chemical_formula_sum 'Tb4 B3 Rh12 Pb1'
_cell_length_a 7.602
_cell_length_b 7.602
_cell_length_c 7.602
_cell_angle_alpha 109.47
_cell_angle_beta 109.47
_cell_angle_gamma 109.47
_space_group_name_H-M_alt 'P 1'
_space_group_IT_number 1
_space_group_name_Hall 'P 1'
loop_
_atom_site_label
_atom_site_type_symbol
_atom_site_fract_x
_atom_site_fract_y
_atom_site_fract_z
Tb1 Tb 0.000 0.000 0.500
Tb2 Tb 0.000 0.500 0.000
Tb3 Tb 0.500 0.000 0.000
Tb4 Tb 0.500 0.500 0.500
B1 B 0.000 0.500 0.500
B2 B 0.500 0.000 0.500
B3 B 0.500 0.500 0.000
Rh1 Rh 0.000 0.283 0.283
Rh2 Rh 0.000 0.717 0.717
Rh3 Rh 0.250 0.500 0.750
Rh4 Rh 0.250 0.750 0.500
Rh5 Rh 0.283 0.000 0.283
Rh6 Rh 0.283 0.283 0.000
Rh7 Rh 0.500 0.250 0.750
Rh8 Rh 0.500 0.750 0.250
Rh9 Rh 0.717 0.000 0.717
Rh10 Rh 0.717 0.717 0.000
Rh11 Rh 0.750 0.250 0.500
Rh12 Rh 0.750 0.500 0.250
Pb1 Pb 0.000 0.000 0.000
```

---

[2]
A relaxed RbBa2Hg2 crystal. Source: Alexandria, functional PBE.

Calculated values
- E (eV/cell) = -6.11
- mass density (g cm⁻³) = 4.72
- space-group type = I4/mmm (139)
- distance to the lowest polymorph of the same formula (meV per atom) = 192
- E_form (eV per atom) = -0.139

Geometry as CIF:
```
data_RbBa2Hg2
_chemical_formula_sum 'Rb1 Ba2 Hg2'
_cell_length_a 9.189
_cell_length_b 9.189
_cell_length_c 9.189
_cell_angle_alpha 143.88
_cell_angle_beta 143.88
_cell_angle_gamma 52.01
_space_group_name_H-M_alt 'P 1'
_space_group_IT_number 1
_space_group_name_Hall 'P 1'
loop_
_atom_site_label
_atom_site_type_symbol
_atom_site_fract_x
_atom_site_fract_y
_atom_site_fract_z
Rb1 Rb 0.000 0.000 0.000
Ba1 Ba 0.361 0.361 0.000
Ba2 Ba 0.639 0.639 0.000
Hg1 Hg 0.250 0.750 0.500
Hg2 Hg 0.750 0.250 0.500
```

---

[3]
A relaxed NiIr2Br crystal. Source: Alexandria, functional PBE.

Calculated values
- E (eV/cell) = -22.19
- mass density (g cm⁻³) = 14.37
- space-group type = C2/m (12)
- distance to the lowest polymorph of the same formula (meV per atom) = 277

Geometry as CIF:
```
data_NiIr2Br
_chemical_formula_sum 'Ni1 Ir2 Br1'
_cell_length_a 4.560
_cell_length_b 4.560
_cell_length_c 4.895
_cell_angle_alpha 99.72
_cell_angle_beta 99.72
_cell_angle_gamma 37.12
_space_group_name_H-M_alt 'P 1'
_space_group_IT_number 1
_space_group_name_Hall 'P 1'
loop_
_atom_site_label
_atom_site_type_symbol
_atom_site_fract_x
_atom_site_fract_y
_atom_site_fract_z
Ni1 Ni 0.000 0.000 0.000
Ir1 Ir 0.260 0.260 0.774
Ir2 Ir 0.740 0.740 0.226
Br1 Br 0.500 0.500 0.500
```